Record 1
The following is a SCAN calculation of La3Ge4Pd4 at its PBEsol-relaxed geometry, from Alexandria via LeMat-Bulk.

Structure (CIF):
```
data_La3Ge4Pd4
_space_group_name_H-M_alt 'I m m m'
_space_group_IT_number 71
_space_group_name_Hall '-I 2 2'
_cell_length_a 4.154
_cell_length_b 4.354
_cell_length_c 25.093
_cell_angle_alpha 90.00
_cell_angle_beta 90.00
_cell_angle_gamma 90.00
loop_
_atom_site_label
_atom_site_fract_x
_atom_site_fract_y
_atom_site_fract_z
La1 0.000 0.000 0.000
La2 0.000 0.500 0.148
Ge1 0.000 0.000 0.450
Ge2 0.000 0.500 0.304
Pd1 0.000 0.000 0.250
Pd2 0.000 0.500 0.403
```

Volume ... 453.80 Å³/cell
M_tot ... 0.000 μB per atom
Formation energy ... -1.040 eV per atom

Record 2
The following is a SCAN calculation of LaGePd3 at its PBEsol-relaxed geometry, from Alexandria via LeMat-Bulk.

Structure (CIF):
```
data_LaGePd3
_space_group_name_H-M_alt 'P m -3 m'
_space_group_IT_number 221
_space_group_name_Hall '-P 4 2 3'
_cell_length_a 4.682
_cell_length_b 4.682
_cell_length_c 4.682
_cell_angle_alpha 90.00
_cell_angle_beta 90.00
_cell_angle_gamma 90.00
loop_
_atom_site_label
_atom_site_fract_x
_atom_site_fract_y
_atom_site_fract_z
La1 0.000 0.000 0.000
Ge1 0.500 0.500 0.500
Pd1 0.000 0.500 0.500
```

Volume ... 102.66 Å³/cell
M_tot ... 0.000 μB per atom
Formation energy ... -0.616 eV per atom

Record 3
The following is a SCAN calculation of LaGePt at its PBEsol-relaxed geometry, from Alexandria via LeMat-Bulk.

Structure (CIF):
```
data_LaGePt
_space_group_name_H-M_alt 'I 41 m d'
_space_group_IT_number 109
_space_group_name_Hall 'I 4bw -2'
_cell_length_a 4.244
_cell_length_b 4.244
_cell_length_c 14.908
_cell_angle_alpha 90.00
_cell_angle_beta 90.00
_cell_angle_gamma 90.00
loop_
_atom_site_label
_atom_site_fract_x
_atom_site_fract_y
_atom_site_fract_z
La1 0.000 0.000 0.000
Ge1 0.000 0.000 0.419
Pt1 0.000 0.000 0.585
```

Volume ... 268.54 Å³/cell
M_tot ... 0.000 μB per atom
Formation energy ... -1.335 eV per atom

Record 4
The following is a SCAN calculation of LaGe12Pt4 at its PBEsol-relaxed geometry, from Alexandria via LeMat-Bulk.

Structure (CIF):
```
data_LaGe12Pt4
_space_group_name_H-M_alt 'I m -3'
_space_group_IT_number 204
_space_group_name_Hall '-I 2 2 3'
_cell_length_a 8.610
_cell_length_b 8.610
_cell_length_c 8.610
_cell_angle_alpha 90.00
_cell_angle_beta 90.00
_cell_angle_gamma 90.00
loop_
_atom_site_label
_atom_site_fract_x
_atom_site_fract_y
_atom_site_fract_z
La1 0.000 0.000 0.000
Ge1 0.000 0.151 0.355
Pt1 0.250 0.250 0.250
```

Volume ... 638.18 Å³/cell
M_tot ... 0.000 μB per atom
Formation energy ... -0.541 eV per atom

Record 5
The following is a SCAN calculation of RbLaZr2Ge at its PBEsol-relaxed geometry, from Alexandria via LeMat-Bulk.

Structure (CIF):
```
data_RbLaZr2Ge
_space_group_name_H-M_alt 'P 4/m m m'
_space_group_IT_number 123
_space_group_name_Hall '-P 4 2'
_cell_length_a 5.261
_cell_length_b 5.261
_cell_length_c 5.841
_cell_angle_alpha 90.00
_cell_angle_beta 90.00
_cell_angle_gamma 90.00
loop_
_atom_site_label
_atom_site_fract_x
_atom_site_fract_y
_atom_site_fract_z
Rb1 0.000 0.000 0.000
La1 0.500 0.500 0.500
Zr1 0.000 0.500 0.500
Ge1 0.500 0.500 0.000
```

Volume ... 161.66 Å³/cell
M_tot ... 0.000 μB per atom
Formation energy ... 1.182 eV per atom

Record 6
The following is a SCAN calculation of LaRe2Ge2 at its PBEsol-relaxed geometry, from Alexandria via LeMat-Bulk.

Structure (CIF):
```
data_LaRe2Ge2
_space_group_name_H-M_alt 'I 4/m m m'
_space_group_IT_number 139
_space_group_name_Hall '-I 4 2'
_cell_length_a 4.552
_cell_length_b 4.552
_cell_length_c 9.397
_cell_angle_alpha 90.00
_cell_angle_beta 90.00
_cell_angle_gamma 90.00
loop_
_atom_site_label
_atom_site_fract_x
_atom_site_fract_y
_atom_site_fract_z
La1 0.000 0.000 0.000
Re1 0.000 0.000 0.378
Ge1 0.000 0.500 0.250
```

Volume ... 194.75 Å³/cell
M_tot ... 0.000 μB per atom
Formation energy ... -0.237 eV per atom

Record 7
The following is a SCAN calculation of LaGe2Rh2 at its PBEsol-relaxed geometry, from Alexandria via LeMat-Bulk.

Structure (CIF):
```
data_LaGe2Rh2
_space_group_name_H-M_alt 'I 4/m m m'
_space_group_IT_number 139
_space_group_name_Hall '-I 4 2'
_cell_length_a 4.148
_cell_length_b 4.148
_cell_length_c 10.517
_cell_angle_alpha 90.00
_cell_angle_beta 90.00
_cell_angle_gamma 90.00
loop_
_atom_site_label
_atom_site_fract_x
_atom_site_fract_y
_atom_site_fract_z
La1 0.000 0.000 0.000
Ge1 0.000 0.000 0.374
Rh1 0.000 0.500 0.250
```

Volume ... 180.97 Å³/cell
M_tot ... 0.000 μB per atom
Formation energy ... -1.058 eV per atom

Record 8
The following is a SCAN calculation of La2Ge2Rh at its PBEsol-relaxed geometry, from Alexandria via LeMat-Bulk.

Structure (CIF):
```
data_La2Ge2Rh
_space_group_name_H-M_alt 'P 4/m b m'
_space_group_IT_number 127
_space_group_name_Hall '-P 4 2ab'
_cell_length_a 6.752
_cell_length_b 6.752
_cell_length_c 4.742
_cell_angle_alpha 90.00
_cell_angle_beta 90.00
_cell_angle_gamma 90.00
loop_
_atom_site_label
_atom_site_fract_x
_atom_site_fract_y
_atom_site_fract_z
La1 0.174 0.326 0.000
Ge1 0.136 0.636 0.500
Rh1 0.000 0.000 0.500
```

Volume ... 216.14 Å³/cell
M_tot ... 0.000 μB per atom
Formation energy ... -0.896 eV per atom

Record 9
The following is a SCAN calculation of LaGe2Rh at its PBEsol-relaxed geometry, from Alexandria via LeMat-Bulk.

Structure (CIF):
```
data_LaGe2Rh
_space_group_name_H-M_alt 'C m c m'
_space_group_IT_number 63
_space_group_name_Hall '-C 2c 2'
_cell_length_a 4.336
_cell_length_b 17.140
_cell_length_c 4.330
_cell_angle_alpha 90.00
_cell_angle_beta 90.00
_cell_angle_gamma 90.00
loop_
_atom_site_label
_atom_site_fract_x
_atom_site_fract_y
_atom_site_fract_z
La1 0.000 0.108 0.250
Ge1 0.000 0.250 0.750
Ge2 0.000 0.460 0.250
Rh1 0.000 0.320 0.250
```

Volume ... 321.82 Å³/cell
M_tot ... 0.000 μB per atom
Formation energy ... -1.013 eV per atom

Record 10
The following is a SCAN calculation of LaGe2Ru2 at its PBEsol-relaxed geometry, from Alexandria via LeMat-Bulk.

Structure (CIF):
```
data_LaGe2Ru2
_space_group_name_H-M_alt 'I 4/m m m'
_space_group_IT_number 139
_space_group_name_Hall '-I 4 2'
_cell_length_a 4.266
_cell_length_b 4.266
_cell_length_c 10.036
_cell_angle_alpha 90.00
_cell_angle_beta 90.00
_cell_angle_gamma 90.00
loop_
_atom_site_label
_atom_site_fract_x
_atom_site_fract_y
_atom_site_fract_z
La1 0.000 0.000 0.000
Ge1 0.000 0.000 0.366
Ru1 0.000 0.500 0.250
```

Volume ... 182.62 Å³/cell
M_tot ... 0.000 μB per atom
Formation energy ... -0.819 eV per atom